--- A ---
## MoBr2 (PBE-GGA)

Data for a relaxed structure of MoBr2.

```
MoBr2
1.0
1.5687 3.9511 6.6570
6.0696 -2.1900 4.5554
6.4347 4.5570 0.4649
Br Mo
4 2
direct
0.3750 0.3750 0.3750
0.8750 0.3750 0.3750
0.3750 0.8750 0.3750
0.3750 0.3750 0.8750
0.2500 0.2500 0.2500
0.5000 0.5000 0.5000
```

Properties
volume = 58.07 A^3/atom
symmetry = Fd-3m (227)


--- B ---
## MoBr2 (PBE-GGA)

Data for a relaxed structure of MoBr2.

```
MoBr2
1.0
1.6424 0.9482 7.3812
-1.6424 0.9482 7.3812
0.0000 -1.8965 7.3812
Br Mo
2 1
direct
0.5813 0.5813 0.5813
0.7516 0.7516 0.7516
0.0003 0.0003 0.0003
```

Properties
volume = 22.99 A^3/atom
symmetry = R3m (160)


Most stable: B (next structure +0.299 eV/atom)